[1]
Compound: Ca3Si
Source: Alexandria
Functional: meta-GGA SCAN
Structure: PBEsol geometry

Calculated values
Total magnetization (μB/f.u.): 0.00
Formation energy without anion corrections (meV/atom): -276
Calculated volume (Å³/cell): 379.11
Excess energy over the best structure of this formula in the dataset (eV/atom): 0.028
Raw total energy (eV/cell): -120.33

Structure (POSCAR):
```
Ca3Si
1.0
-1.9986 -3.8715 1.8491
5.9497 -0.7265 4.9098
-7.9545 6.2307 4.4477
Ca Si
9 3
direct
0.0000 0.3901 0.2744
0.0000 0.1157 0.7256
0.5000 0.7108 0.0000
0.5000 0.2892 0.0000
0.0000 0.8843 0.2744
0.0000 0.6099 0.7256
0.0000 0.0000 0.0000
0.5000 0.7559 0.5117
0.5000 0.2441 0.4883
0.0000 0.5000 0.0000
0.5000 0.1008 0.2017
0.5000 0.8992 0.7983
```


[2]
Compound: FeRu3F
Source: Alexandria
Functional: meta-GGA SCAN
Structure: PBEsol geometry

Calculated values
Total magnetization (μB/f.u.): 4.97
Formation energy without anion corrections (meV/atom): 1488
Calculated volume (Å³/cell): 82.51
Raw total energy (eV/cell): -118.71

Structure (POSCAR):
```
FeRu3F
1.0
-0.0175 2.4795 3.5783
2.9077 -2.6565 1.8550
3.2400 2.3974 -1.6454
Ru Fe F
3 1 1
direct
0.0000 0.5000 0.0000
0.0000 0.0000 0.5000
0.5000 0.0000 0.0000
0.0000 0.0000 0.0000
0.5000 0.5000 0.5000
```


[3]
Compound: IrRh7
Source: Alexandria
Functional: meta-GGA SCAN
Structure: PBEsol geometry

Calculated values
Total magnetization (μB/f.u.): 0.00
Formation energy from the elements (meV/atom): -10.6
Calculated volume (Å³/cell): 108.14
Raw total energy (eV/cell): -307.58

Structure (POSCAR):
```
IrRh7
1.0
-5.2341 1.0704 -0.2365
-3.4939 -3.9358 -0.9487
-3.2525 -1.6849 3.8962
Ir Rh
1 7
direct
0.0000 0.0000 0.0000
0.5000 0.0000 0.0000
0.5000 0.5000 0.0000
0.0000 0.5000 0.0000
0.5000 0.0000 0.5000
0.0000 0.0000 0.5000
0.0000 0.5000 0.5000
0.5000 0.5000 0.5000
```


[4]
Compound: ZrBeTeI2
Source: Alexandria
Functional: meta-GGA SCAN
Structure: PBEsol geometry

Calculated values
Total magnetization (μB/f.u.): 0.00
Formation energy without anion corrections (meV/atom): 171
Calculated volume (Å³/cell): 177.49
Raw total energy (eV/cell): -144.93

Structure (POSCAR):
```
ZrBeTeI2
1.0
5.5156 0.0000 0.0000
0.0000 5.6728 0.0000
0.0000 0.0000 5.6728
I Be Te Zr
2 1 1 1
direct
0.0000 0.0000 0.5000
0.0000 0.5000 0.0000
0.5000 0.5000 0.5000
0.5000 0.0000 0.0000
0.0000 0.0000 0.0000
```


[5]
Compound: Zn2WBr
Source: Alexandria
Functional: meta-GGA SCAN
Structure: PBEsol geometry

Calculated values
Total magnetization (μB/f.u.): 0.00
Formation energy without anion corrections (meV/atom): 424
Calculated volume (Å³/cell): 67.25
Excess energy over the best structure of this formula in the dataset (eV/atom): 0.000
Raw total energy (eV/cell): -114.48

Structure (POSCAR):
```
Zn2WBr
1.0
3.0781 0.0000 0.0000
1.5390 2.6657 0.0000
1.5390 0.8886 8.1957
Br W Zn
1 1 2
direct
0.5000 0.5000 0.5000
0.0000 0.0000 0.0000
0.2516 0.2516 0.2452
0.7484 0.7484 0.7548
```


[6]
Compound: BaZn2Pb2
Source: Alexandria
Functional: meta-GGA SCAN
Structure: PBEsol geometry

Calculated values
Total magnetization (μB/f.u.): 0.00
Formation energy from the elements (meV/atom): -406.5
Calculated volume (Å³/cell): 134.16
Raw total energy (eV/cell): -220.18

Structure (POSCAR):
```
BaZn2Pb2
1.0
4.8202 0.0709 0.0503
0.0709 4.8202 0.0503
-2.3326 -2.3326 5.7275
Pb Zn Ba
2 2 1
direct
0.4193 0.4193 0.7316
0.5807 0.5807 0.2684
0.1931 0.8069 0.5000
0.8069 0.1931 0.5000
0.0000 0.0000 0.0000
```


[7]
Compound: ZnCu2Ni
Source: Alexandria
Functional: meta-GGA SCAN
Structure: PBEsol geometry

Calculated values
Total magnetization (μB/f.u.): 0.00
Formation energy from the elements (meV/atom): -37.1
Calculated volume (Å³/cell): 45.70
Raw total energy (eV/cell): -60.24

Structure (POSCAR):
```
ZnCu2Ni
1.0
-0.5719 -1.9391 -1.5525
4.0765 -1.5163 0.3921
-2.5375 -1.7350 3.1018
Ni Zn Cu
1 1 2
direct
0.5000 0.0000 0.0000
0.5000 0.5000 0.5000
0.0000 0.5000 0.0000
0.0000 0.0000 0.5000
```


[8]
Compound: KCuRh
Source: Alexandria
Functional: meta-GGA SCAN
Structure: PBEsol geometry

Calculated values
Total magnetization (μB/f.u.): 0.42
Formation energy from the elements (meV/atom): 705.9
Calculated volume (Å³/cell): 50.93
Raw total energy (eV/cell): -55.18

Structure (POSCAR):
```
KCuRh
1.0
-2.1241 -1.8032 0.2238
2.5068 -0.8926 -0.8561
1.9391 -1.3985 7.1363
Cu K Rh
1 1 1
direct
0.0000 0.0000 0.0369
0.6667 0.3333 0.6598
0.3333 0.6667 0.3032
```


[9]
Compound: SrAl2Ag
Source: Alexandria
Functional: meta-GGA SCAN
Structure: PBEsol geometry

Calculated values
Total magnetization (μB/f.u.): 0.00
Formation energy from the elements (meV/atom): -276.1
Calculated volume (Å³/cell): 96.85
Raw total energy (eV/cell): -70.25

Structure (POSCAR):
```
SrAl2Ag
1.0
4.4448 0.0000 0.0000
2.2224 3.8493 0.0000
2.2224 1.2831 5.6605
Sr Al Ag
1 2 1
direct
0.5041 0.5041 0.4876
0.9773 0.9773 0.0681
0.7071 0.7071 0.8786
0.3122 0.3122 0.0633
```


[10]
Compound: LiRhIN2
Source: Alexandria
Functional: meta-GGA SCAN
Structure: PBEsol geometry

Calculated values
Total magnetization (μB/f.u.): 0.27
Formation energy without anion corrections (meV/atom): 557
Calculated volume (Å³/cell): 91.17
Raw total energy (eV/cell): -88.70

Structure (POSCAR):
```
LiRhIN2
1.0
3.7511 0.0000 0.0000
0.0000 3.7511 0.0000
0.0000 0.0000 6.4793
I Li Rh N
1 1 1 2
direct
0.0000 0.0000 0.5000
0.5000 0.5000 0.5000
0.0000 0.0000 0.0000
0.0000 0.5000 0.0000
0.5000 0.0000 0.0000
```


[11]
Compound: CoHg2Cl
Source: Alexandria
Functional: meta-GGA SCAN
Structure: PBEsol geometry

Calculated values
Total magnetization (μB/f.u.): 1.95
Formation energy without anion corrections (meV/atom): -57
Calculated volume (Å³/cell): 82.06
Excess energy over the best structure of this formula in the dataset (eV/atom): 0.009
Raw total energy (eV/cell): -161.84

Structure (POSCAR):
```
CoHg2Cl
1.0
3.0220 0.0000 0.0000
0.0000 4.3075 0.0000
0.0000 -2.1537 6.3041
Co Hg Cl
1 2 1
direct
0.5000 0.6584 0.3169
0.0000 0.1089 0.2177
0.5000 0.4507 0.9013
0.0000 0.7918 0.5837
```


[12]
Compound: Ba2MgZr
Source: Alexandria
Functional: meta-GGA SCAN
Structure: PBEsol geometry

Calculated values
Total magnetization (μB/f.u.): 0.00
Formation energy from the elements (meV/atom): 542.0
Calculated volume (Å³/cell): 137.36
Raw total energy (eV/cell): -112.60

Structure (POSCAR):
```
Ba2MgZr
1.0
3.5917 0.0000 0.0000
0.0000 5.2107 0.0000
0.0000 0.0000 7.3395
Ba Mg Zr
2 1 1
direct
0.0000 0.0000 0.7447
0.0000 0.0000 0.2553
0.5000 0.5000 0.0000
0.5000 0.5000 0.5000
```